TiTe3O after structural relaxation, computed with PBE.

```
TiTe3O
1.0
-2.6790 1.6709 -3.5803
-3.8218 0.0010 2.8602
1.0019 4.4716 1.3372
Te O Ti
3 1 1
Cartesian
-1.9109 0.0005 1.4301
0.5009 2.2358 0.6686
-1.3395 0.8354 -1.7901
0.0000 0.0000 0.0000
-2.7495 3.0717 0.3086
```

Summary:
Raw formation energy in eV/atom: 0.150
Crystal system: cubic
Size of the total moment in μB per formula unit: 0.000
Total energy in eV/atom: -4.305

=====

TiTeO2 after structural relaxation, computed with PBE.

```
TiTeO2
1.0
1.7453 0.0000 8.5943
-0.8727 1.5115 8.5943
-0.8727 -1.5115 8.5943
Te O Ti
1 2 1
Cartesian
0.0000 0.0000 0.0000
0.0000 0.0000 22.4477
0.0000 0.0000 3.3351
0.0000 0.0000 12.8914
```

Summary:
Raw formation energy in eV/atom: -2.003
Crystal system: trigonal
Size of the total moment in μB per formula unit: 0.000
Total energy in eV/atom: -7.241

=====

TiTeO2 after structural relaxation, computed with PBE.

```
TiTeO2
1.0
1.7674 0.0000 7.2961
-0.8837 1.5306 7.2961
-0.8837 -1.5306 7.2961
Te O Ti
1 2 1
Cartesian
0.0000 0.0000 10.9442
0.0000 0.0000 20.0391
0.0000 0.0000 1.8493
0.0000 0.0000 0.0000
```

Summary:
Raw formation energy in eV/atom: -0.707
Crystal system: trigonal
Size of the total moment in μB per formula unit: 0.000
Total energy in eV/atom: -5.946